Record 1
DFT (PBE-GGA) results for a relaxed Sc2Ir2Pb crystal.

Properties
For the calculated total energy, the calculation gives -7.248 eV/atom. For the magnetic moment, the calculation gives 0.000 μB per formula unit. Its formation enthalpy at 0 K is -2.14 eV/f.u.

Lattice parameters (Å, degrees): 4.369 4.369 11.231 90.00 90.00 90.00
Space group I4/mmm (No. 139)
Asymmetric unit:
Sc 0.000 0.500 0.250 [4 per cell]
Ir 0.000 0.000 0.113 [4 per cell]
Pb 0.000 0.000 0.500 [2 per cell]


Record 2
DFT (PBE-GGA) results for a relaxed Sc2IrPb crystal.

Properties
For the calculated total energy, the calculation gives -6.817 eV/atom. For the magnetic moment, the calculation gives 0.000 μB per formula unit. Its formation enthalpy at 0 K is -2.04 eV/f.u.

Lattice parameters (Å, degrees): 4.619 4.619 3.761 90.00 90.00 90.00
Space group P4/mmm (No. 123)
Asymmetric unit:
Sc 0.000 0.500 0.000 [2 per cell]
Ir 0.000 0.000 0.500 [1 per cell]
Pb 0.500 0.500 0.500 [1 per cell]


Record 3
DFT (PBE-GGA) results for a relaxed Sc11Ir4Pb9 crystal.

Properties
For the calculated total energy, the calculation gives -6.287 eV/atom. For the magnetic moment, the calculation gives 0.978 μB per formula unit. Its formation enthalpy at 0 K is -12.41 eV/f.u.

Lattice parameters (Å, degrees): 14.459 21.387 3.479 90.00 90.00 90.00
Space group Cmmm (No. 65)
Asymmetric unit:
Sc 0.000 0.000 0.000 [2 per cell]
Sc 0.000 0.157 0.000 [4 per cell]
Sc 0.000 0.374 0.000 [4 per cell]
Sc 0.185 0.500 0.000 [4 per cell]
Sc 0.247 0.332 0.000 [8 per cell]
Ir 0.150 0.398 0.500 [8 per cell]
Pb 0.000 0.500 0.500 [2 per cell]
Pb 0.112 0.256 0.500 [8 per cell]
Pb 0.143 0.076 0.500 [8 per cell]


Record 4
DFT (PBE-GGA) results for a relaxed ScIrPb crystal.

Properties
For the calculated total energy, the calculation gives -6.665 eV/atom. For the magnetic moment, the calculation gives 0.000 μB per formula unit. Its formation enthalpy at 0 K is -1.09 eV/f.u.

Lattice parameters (Å, degrees): 6.932 4.293 8.358 90.00 90.00 90.00
Space group Pnma (No. 62)
Asymmetric unit:
Sc 0.042 0.250 0.241 [4 per cell]
Ir 0.126 0.250 0.913 [4 per cell]
Pb 0.206 0.250 0.581 [4 per cell]


Record 5
DFT (PBE-GGA) results for a relaxed ScIrPb3 crystal.

Properties
Its polymorph energy (0 for the lowest one) is 369 kJ/mol of formula units. For the calculated total energy, the calculation gives -4.044 eV/atom. For the magnetic moment, the calculation gives 1.080 μB per formula unit. Its formation enthalpy at 0 K is 6.10 eV/f.u.

Lattice parameters (Å, degrees): 5.458 5.458 5.458 90.00 90.00 90.00
Space group Pm-3m (No. 221)
Asymmetric unit:
Sc 0.000 0.000 0.000 [1 per cell]
Ir 0.500 0.500 0.500 [1 per cell]
Pb 0.000 0.000 0.500 [3 per cell]


Record 6
DFT (PBE-GGA) results for a relaxed Sc2IrPb crystal.

Properties
For the calculated total energy, the calculation gives -6.778 eV/atom. For the magnetic moment, the calculation gives 0.000 μB per formula unit. Its formation enthalpy at 0 K is -1.88 eV/f.u.

Lattice parameters (Å, degrees): 3.6692 3.6692 24.0988 90.00 90.00 120.00
Space group R-3m (No. 166, hexagonal axes)
Asymmetric unit:
Sc 0.0000 0.0000 0.2306 [6 per cell]
Ir 0.0000 0.0000 0.5000 [3 per cell]
Pb 0.0000 0.0000 0.0000 [3 per cell]


Record 7
DFT (PBE-GGA) results for a relaxed ScIrPb4 crystal.

Properties
For the calculated total energy, the calculation gives -4.286 eV/atom. For the magnetic moment, the calculation gives 0.015 μB per formula unit. Its formation enthalpy at 0 K is 4.31 eV/f.u.

Lattice parameters (Å, degrees): 8.749 8.749 8.749 90.00 90.00 90.00
Space group F-43m (No. 216)
Asymmetric unit:
Sc 0.000 0.000 0.000 [4 per cell]
Ir 0.250 0.250 0.750 [4 per cell]
Pb 0.125 0.125 0.375 [16 per cell]


Record 8
DFT (PBE-GGA) results for a relaxed ScIr3Pb crystal.

Properties
Its polymorph energy (0 for the lowest one) is 0 kJ/mol of formula units. For the calculated total energy, the calculation gives -6.136 eV/atom. For the magnetic moment, the calculation gives 0.000 μB per formula unit. Its formation enthalpy at 0 K is 5.94 eV/f.u.

Lattice parameters (Å, degrees): 4.787 4.787 4.787 90.00 90.00 90.00
Space group Pm-3m (No. 221)
Asymmetric unit:
Sc 0.000 0.000 0.000 [1 per cell]
Ir 0.000 0.000 0.500 [3 per cell]
Pb 0.500 0.500 0.500 [1 per cell]


Record 9
DFT (PBE-GGA) results for a relaxed Sc4IrPb crystal.

Properties
For the calculated total energy, the calculation gives -6.108 eV/atom. For the magnetic moment, the calculation gives 0.003 μB per formula unit. Its formation enthalpy at 0 K is 1.25 eV/f.u.

Lattice parameters (Å, degrees): 7.983 7.983 7.983 90.00 90.00 90.00
Space group F-43m (No. 216)
Asymmetric unit:
Sc 0.124 0.124 0.124 [16 per cell]
Ir 0.250 0.250 0.750 [4 per cell]
Pb 0.000 0.000 0.500 [4 per cell]


Record 10
DFT (PBE-GGA) results for a relaxed ScIrPb crystal.

Properties
For the calculated total energy, the calculation gives -6.652 eV/atom. For the magnetic moment, the calculation gives 0.000 μB per formula unit. Its formation enthalpy at 0 K is -1.05 eV/f.u.

Lattice parameters (Å, degrees): 3.242 3.242 12.008 90.00 90.00 90.00
Space group I4mm (No. 107)
Asymmetric unit:
Sc 0.000 0.000 0.000 [2 per cell]
Ir 0.000 0.000 0.379 [2 per cell]
Pb 0.000 0.000 0.713 [2 per cell]


Record 11
DFT (PBE-GGA) results for a relaxed Sc5Ir4Pb crystal.

Properties
For the calculated total energy, the calculation gives -7.969 eV/atom. For the magnetic moment, the calculation gives 0.000 μB per formula unit. Its formation enthalpy at 0 K is -8.88 eV/f.u.

Lattice parameters (Å, degrees): 3.161 3.161 18.420 90.00 90.00 90.00
Space group P4/mmm (No. 123)
Asymmetric unit:
Sc 0.000 0.000 0.000 [1 per cell]
Sc 0.000 0.000 0.183 [2 per cell]
Sc 0.000 0.000 0.366 [2 per cell]
Ir 0.500 0.500 0.092 [2 per cell]
Ir 0.500 0.500 0.277 [2 per cell]
Pb 0.500 0.500 0.500 [1 per cell]


Record 12
DFT (PBE-GGA) results for a relaxed ScIrPb3 crystal.

Properties
Its polymorph energy (0 for the lowest one) is 0 kJ/mol of formula units. For the calculated total energy, the calculation gives -4.809 eV/atom. For the magnetic moment, the calculation gives 0.000 μB per formula unit. Its formation enthalpy at 0 K is 2.27 eV/f.u.

Lattice parameters (Å, degrees): 5.314 5.314 5.314 90.00 90.00 90.00
Space group Pm-3m (No. 221)
Asymmetric unit:
Sc 0.000 0.000 0.000 [1 per cell]
Ir 0.500 0.500 0.500 [1 per cell]
Pb 0.000 0.500 0.500 [3 per cell]